# 1
Here is AlPb2W after structural relaxation from Alexandria. Energies are from PBE-GGA.

Cell lengths 3.5527, 4.9325, 4.9325 Å; angles 90.00, 90.00, 90.00 degrees
Fractional coordinates of all 4 atoms:
Pb  0.0000  0.0000  0.0000
Pb  0.0000  0.5000  0.5000
Al  0.5000  0.0000  0.5000
W  0.5000  0.5000  0.0000

Relative energy among the computed polymorphs in meV per atom: 498
V in Å³/cell: 86
VASP energy in eV/atom: -5.074
Space-group type: P4/mmm
Formation energy in eV/atom: 0.95
Fermi-level density of states in states/eV/cell: 3.7



# 2
Here is Al2PbW after structural relaxation from Alexandria. Energies are from PBE-GGA.

Cell lengths 4.6703, 3.0640, 5.5333 Å; angles 73.91, 90.00, 90.00 degrees
Fractional coordinates of all 4 atoms:
Pb  0.0000  0.5497  0.5264
Al  0.0000  0.8079  0.0090
Al  0.5000  0.2125  0.1997
W  0.5000  0.9299  0.7648

Relative energy among the computed polymorphs in meV per atom: 151
V in Å³/cell: 76
VASP energy in eV/atom: -5.593
Space-group type: Amm2
Formation energy in eV/atom: 0.44
Fermi-level density of states in states/eV/cell: 0.9